Material: La2Pm5Pr12
Method: DFT, PBE-GGA
State: optimized geometry

Geometry as POSCAR:
```
La2Pm5Pr12
1.0
-5.8651 -5.4922 6.3679
4.0176 -3.9292 -7.9419
6.6099 -2.0827 4.2917
La Pm Pr
2 5 12
direct
0.7843 0.0000 0.0000 La
0.2157 0.0000 0.0000 La
0.2493 0.4986 0.5136 Pm
0.3533 0.7066 0.0780 Pm
0.0000 0.0000 0.5000 Pm
0.6467 0.2934 0.9220 Pm
0.7507 0.5014 0.4864 Pm
0.8376 0.6753 0.1234 Pr
0.0352 0.6175 0.7912 Pr
0.5824 0.6175 0.7912 Pr
0.1690 0.7893 0.3885 Pr
0.6203 0.7893 0.3885 Pr
0.4491 0.8982 0.7116 Pr
0.5509 0.1018 0.2884 Pr
0.8310 0.2107 0.6115 Pr
0.3797 0.2107 0.6115 Pr
0.9648 0.3825 0.2088 Pr
0.4176 0.3825 0.2088 Pr
0.1624 0.3247 0.8766 Pr
```

## Properties
As for the volume: 691 Å³/cell. The value obtained for the density of states at the Fermi level is 26.582 states/eV per cell. For the total energy, the calculation gives -4.6791 eV/atom.